1.
Below is a crystal of NiAuO2 relaxed with PBEsol, with properties calculated at the meta-GGA SCAN level.

a = 5.758 Å, b = 5.758 Å, c = 5.758 Å
α = 34.45°, β = 34.45°, γ = 34.45°
Positions (direct):
Ni 0.000 0.000 0.000
Au 0.500 0.500 0.500
O 0.108 0.108 0.108
O 0.892 0.892 0.892

SG: No. 166

=====

2.
Below is a crystal of TlTe3Pt2 relaxed with PBEsol, with properties calculated at the meta-GGA SCAN level.

a = 7.960 Å, b = 7.960 Å, c = 5.553 Å
α = 90.00°, β = 90.00°, γ = 120.00°
Positions (direct):
Tl 0.333 0.667 0.314
Tl 0.667 0.333 0.686
Te 0.169 0.338 0.760
Te 0.169 0.831 0.760
Te 0.338 0.169 0.240
Te 0.662 0.831 0.760
Te 0.831 0.169 0.240
Te 0.831 0.662 0.240
Pt 0.000 0.000 0.000
Pt 0.000 0.500 0.000
Pt 0.500 0.000 0.000
Pt 0.500 0.500 0.000

SG: No. 164

=====

3.
Below is a crystal of ZnGeF3 relaxed with PBEsol, with properties calculated at the meta-GGA SCAN level.

a = 4.230 Å, b = 4.230 Å, c = 4.230 Å
α = 90.00°, β = 90.00°, γ = 90.00°
Positions (direct):
Zn 0.000 0.000 0.000
Ge 0.500 0.500 0.500
F 0.000 0.500 0.500
F 0.500 0.000 0.500
F 0.500 0.500 0.000

Polymorph energy (0 for the lowest one) (meV per atom): 222
SG: No. 221

=====

| no. | formation energy (no corrections) (meV per atom) | total magnetic moment (μB per formula unit) |
| --- | --- | --- |
| 1 | 12 | 0.99 |
| 2 | -535 | 0.00 |
| 3 | -1380 | 0.72 |